# 1
Entry from Alexandria via LeMat-Bulk: a geometry-optimized Tl3Hg2Sb structure (PBE-GGA).

```
data_Tl3Hg2Sb
_cell_length_a 6.930
_cell_length_b 17.949
_cell_length_c 5.890
_cell_angle_alpha 90.00
_cell_angle_beta 90.00
_cell_angle_gamma 90.00
_symmetry_space_group_name_H-M 'C m c m'
_symmetry_Int_Tables_number 63
_symmetry_space_group_name_Hall '-C 2c 2'
loop_
_atom_site_label
_atom_site_type_symbol
_atom_site_fract_x
_atom_site_fract_y
_atom_site_fract_z
Tl1 Tl 0.000 0.139 0.250
Tl2 Tl 0.244 0.327 0.250
Hg1 Hg 0.230 0.500 0.000
Sb1 Sb 0.000 0.326 0.750
```

Results
formation energy from raw total energies = 36 meV/atom
M_tot = 0.0 μB per formula unit

=====

# 2
Entry from Alexandria via LeMat-Bulk: a geometry-optimized Tl10Hg3Sb3 structure (PBE-GGA).

```
data_Tl10Hg3Sb3
_cell_length_a 9.4630
_cell_length_b 9.4630
_cell_length_c 6.6175
_cell_angle_alpha 90.00
_cell_angle_beta 90.00
_cell_angle_gamma 120.00
_symmetry_space_group_name_H-M 'P -6 2 m'
_symmetry_Int_Tables_number 189
_symmetry_space_group_name_Hall 'P -6 -2'
loop_
_atom_site_label
_atom_site_type_symbol
_atom_site_fract_x
_atom_site_fract_y
_atom_site_fract_z
Tl1 Tl 0.0000 0.2782 0.0000
Tl2 Tl 0.0000 0.7669 0.5000
Tl3 Tl 0.3333 0.6667 0.2499
Hg1 Hg 0.0000 0.6282 0.0000
Sb1 Sb 0.0000 0.4181 0.5000
```

Results
formation energy from raw total energies = 3 meV/atom
M_tot = 0.0 μB per formula unit

=====

# 3
Entry from Alexandria via LeMat-Bulk: a geometry-optimized Tl9Hg2Sb3 structure (PBE-GGA).

```
data_Tl9Hg2Sb3
_cell_length_a 15.342
_cell_length_b 8.707
_cell_length_c 14.698
_cell_angle_alpha 90.00
_cell_angle_beta 111.05
_cell_angle_gamma 90.00
_symmetry_space_group_name_H-M 'C 1 2/c 1'
_symmetry_Int_Tables_number 15
_symmetry_space_group_name_Hall '-C 2yc'
loop_
_atom_site_label
_atom_site_type_symbol
_atom_site_fract_x
_atom_site_fract_y
_atom_site_fract_z
Tl1 Tl 0.000 0.188 0.250
Tl2 Tl 0.053 0.440 0.903
Tl3 Tl 0.118 0.201 0.752
Tl4 Tl 0.123 0.103 0.101
Tl5 Tl 0.221 0.096 0.403
Hg1 Hg 0.173 0.429 0.251
Sb1 Sb 0.083 0.239 0.511
Sb2 Sb 0.250 0.250 0.000
```

Results
formation energy from raw total energies = 3 meV/atom
M_tot = 0.0 μB per formula unit

=====

# 4
Entry from Alexandria via LeMat-Bulk: a geometry-optimized TlHg2Sb structure (PBE-GGA).

```
data_TlHg2Sb
_cell_length_a 3.807
_cell_length_b 3.807
_cell_length_c 7.663
_cell_angle_alpha 90.00
_cell_angle_beta 90.00
_cell_angle_gamma 90.00
_symmetry_space_group_name_H-M 'P 4/m m m'
_symmetry_Int_Tables_number 123
_symmetry_space_group_name_Hall '-P 4 2'
loop_
_atom_site_label
_atom_site_type_symbol
_atom_site_fract_x
_atom_site_fract_y
_atom_site_fract_z
Tl1 Tl 0.000 0.000 0.000
Hg1 Hg 0.500 0.500 0.266
Sb1 Sb 0.000 0.000 0.500
```

Results
formation energy from raw total energies = 112 meV/atom
M_tot = 0.0 μB per formula unit